Ni3SI after structural relaxation. Source: Alexandria, functional GGA-PBEsol.

Properties
- ΔE_f (raw) (meV per atom) = 223
- size of the total moment (Bohr magnetons per cell) = 0.00
- E_tot (eV/cell) = -23.51

a b c (Å): 4.259 4.259 4.259
angles (deg): 90.00 90.00 90.00
Atoms (fractional coordinates):
Ni (0.000, 0.000, 0.500)
Ni (0.000, 0.500, 0.000)
Ni (0.500, 0.000, 0.000)
S (0.000, 0.000, 0.000)
I (0.500, 0.500, 0.500)

=====

NiS2I after structural relaxation. Source: Alexandria, functional GGA-PBEsol.

Properties
- distance to the lowest polymorph of the same formula (eV/atom) = 1.013
- ΔE_f (raw) (meV per atom) = 863
- size of the total moment (Bohr magnetons per cell) = 0.00
- E_tot (eV/cell) = -13.24

a b c (Å): 4.562 4.562 4.562
angles (deg): 60.00 60.00 60.00
Atoms (fractional coordinates):
Ni (0.000, 0.000, 0.000)
S (0.250, 0.250, 0.250)
S (0.750, 0.750, 0.750)
I (0.500, 0.500, 0.500)

=====

NiS2I after structural relaxation. Source: Alexandria, functional GGA-PBEsol.

Properties
- distance to the lowest polymorph of the same formula (eV/atom) = 0.780
- ΔE_f (raw) (meV per atom) = 630
- size of the total moment (Bohr magnetons per cell) = 0.18
- E_tot (eV/cell) = -14.17

a b c (Å): 6.938 6.938 6.938
angles (deg): 37.64 37.64 37.64
Atoms (fractional coordinates):
Ni (0.000, 0.000, 0.000)
S (0.104, 0.104, 0.104)
S (0.896, 0.896, 0.896)
I (0.500, 0.500, 0.500)

=====

ScNiSbI2 after structural relaxation. Source: Alexandria, functional GGA-PBEsol.

Properties
- ΔE_f (raw) (meV per atom) = 462
- size of the total moment (Bohr magnetons per cell) = 1.29
- E_tot (eV/cell) = -18.54

a b c (Å): 5.435 5.435 5.716
angles (deg): 90.00 90.00 90.00
Atoms (fractional coordinates):
Sc (0.000, 0.000, 0.000)
Ni (0.500, 0.500, 0.500)
Sb (0.000, 0.000, 0.500)
I (0.000, 0.500, 0.000)
I (0.500, 0.000, 0.000)

=====

ScNiSb2I after structural relaxation. Source: Alexandria, functional GGA-PBEsol.

Properties
- ΔE_f (raw) (meV per atom) = 724
- size of the total moment (Bohr magnetons per cell) = 0.77
- E_tot (eV/cell) = -20.03

a b c (Å): 5.420 5.420 5.389
angles (deg): 90.00 90.00 90.00
Atoms (fractional coordinates):
Sc (0.000, 0.000, 0.000)
Ni (0.500, 0.500, 0.500)
Sb (0.000, 0.500, 0.000)
Sb (0.500, 0.000, 0.000)
I (0.000, 0.000, 0.500)

=====

Sc3NiI after structural relaxation. Source: Alexandria, functional GGA-PBEsol.

Properties
- ΔE_f (raw) (meV per atom) = -213
- size of the total moment (Bohr magnetons per cell) = 0.00
- E_tot (eV/cell) = -28.80

a b c (Å): 4.883 4.883 4.883
angles (deg): 90.00 90.00 90.00
Atoms (fractional coordinates):
Sc (0.000, 0.000, 0.500)
Sc (0.000, 0.500, 0.000)
Sc (0.500, 0.000, 0.000)
Ni (0.000, 0.000, 0.000)
I (0.500, 0.500, 0.500)

=====

NiSe2I after structural relaxation. Source: Alexandria, functional GGA-PBEsol.

Properties
- ΔE_f (raw) (meV per atom) = -181
- size of the total moment (Bohr magnetons per cell) = 0.00
- E_tot (eV/cell) = -16.35

a b c (Å): 8.181 8.181 8.181
angles (deg): 25.93 25.93 25.93
Atoms (fractional coordinates):
Ni (0.000, 0.000, 0.000)
Se (0.382, 0.382, 0.382)
Se (0.618, 0.618, 0.618)
I (0.500, 0.500, 0.500)

=====

SiNi3I after structural relaxation. Source: Alexandria, functional GGA-PBEsol.

Properties
- ΔE_f (raw) (meV per atom) = 1243
- size of the total moment (Bohr magnetons per cell) = 0.00
- E_tot (eV/cell) = -19.77

a b c (Å): 4.559 4.559 4.559
angles (deg): 90.00 90.00 90.00
Atoms (fractional coordinates):
Si (0.000, 0.000, 0.000)
Ni (0.000, 0.500, 0.500)
Ni (0.500, 0.000, 0.500)
Ni (0.500, 0.500, 0.000)
I (0.500, 0.500, 0.500)

=====

Please write out number 5 again, unchanged.
ScNiSb2I after structural relaxation. Source: Alexandria, functional GGA-PBEsol.

Properties
- ΔE_f (raw) (meV per atom) = 724
- size of the total moment (Bohr magnetons per cell) = 0.77
- E_tot (eV/cell) = -20.03

a b c (Å): 5.420 5.420 5.389
angles (deg): 90.00 90.00 90.00
Atoms (fractional coordinates):
Sc (0.000, 0.000, 0.000)
Ni (0.500, 0.500, 0.500)
Sb (0.000, 0.500, 0.000)
Sb (0.500, 0.000, 0.000)
I (0.000, 0.000, 0.500)

=====

What did the seventh record say?
NiSe2I after structural relaxation. Source: Alexandria, functional GGA-PBEsol.

Properties
- ΔE_f (raw) (meV per atom) = -181
- size of the total moment (Bohr magnetons per cell) = 0.00
- E_tot (eV/cell) = -16.35

a b c (Å): 8.181 8.181 8.181
angles (deg): 25.93 25.93 25.93
Atoms (fractional coordinates):
Ni (0.000, 0.000, 0.000)
Se (0.382, 0.382, 0.382)
Se (0.618, 0.618, 0.618)
I (0.500, 0.500, 0.500)